1.
# Lu2TiBi PBE-GGA optimized geometry
# - total magnetic moment (μB per atom) = 0.00
# - uncorrected energy (eV/atom) = -5.225
data_Lu2TiBi
_symmetry_space_group_name_H-M 'R -3 m'
_symmetry_Int_Tables_number 166
_symmetry_space_group_name_Hall '-R 3 2"'
_cell_length_a 3.4476
_cell_length_b 3.4476
_cell_length_c 30.3040
_cell_angle_alpha 90.00
_cell_angle_beta 90.00
_cell_angle_gamma 120.00
loop_
_atom_site_label
_atom_site_type_symbol
_atom_site_fract_x
_atom_site_fract_y
_atom_site_fract_z
Lu1 Lu 0.0000 0.0000 0.2453
Ti1 Ti 0.0000 0.0000 0.5000
Bi1 Bi 0.0000 0.0000 0.0000

***

2.
# Zr2Be16Al PBE-GGA optimized geometry
# - total magnetic moment (μB per atom) = 0.00
# - uncorrected energy (eV/atom) = -4.458
data_Zr2Be16Al
_symmetry_space_group_name_H-M 'R 3 m'
_symmetry_Int_Tables_number 160
_symmetry_space_group_name_Hall 'R 3 -2"'
_cell_length_a 7.6197
_cell_length_b 7.6197
_cell_length_c 11.1364
_cell_angle_alpha 90.00
_cell_angle_beta 90.00
_cell_angle_gamma 120.00
loop_
_atom_site_label
_atom_site_type_symbol
_atom_site_fract_x
_atom_site_fract_y
_atom_site_fract_z
Zr1 Zr 0.0000 0.0000 0.0000
Zr2 Zr 0.0000 0.0000 0.3187
Be1 Be 0.0000 0.0000 0.7667
Be2 Be 0.0003 0.2936 0.6617
Be3 Be 0.0086 0.5043 0.8177
Be4 Be 0.1677 0.3354 0.8358
Be5 Be 0.1709 0.3419 0.4941
Al1 Al 0.0000 0.0000 0.5651

***

3.
# NdPuNi17 PBE-GGA optimized geometry
# - total magnetic moment (μB per atom) = 0.12
# - uncorrected energy (eV/atom) = -6.306
data_NdPuNi17
_symmetry_space_group_name_H-M 'R 3 m'
_symmetry_Int_Tables_number 160
_symmetry_space_group_name_Hall 'R 3 -2"'
_cell_length_a 8.3239
_cell_length_b 8.3239
_cell_length_c 12.0941
_cell_angle_alpha 90.00
_cell_angle_beta 90.00
_cell_angle_gamma 120.00
loop_
_atom_site_label
_atom_site_type_symbol
_atom_site_fract_x
_atom_site_fract_y
_atom_site_fract_z
Nd1 Nd 0.0000 0.0000 0.0000
Pu1 Pu 0.0000 0.0000 0.6791
Ni1 Ni 0.0000 0.0000 0.2434
Ni2 Ni 0.0000 0.0000 0.4406
Ni3 Ni 0.0012 0.2934 0.3406
Ni4 Ni 0.0009 0.5004 0.4940
Ni5 Ni 0.0028 0.5014 0.1863
Ni6 Ni 0.1670 0.3340 0.1741

***

4.
# LiTmIr4 PBE-GGA optimized geometry
# - total magnetic moment (μB per atom) = 0.00
# - uncorrected energy (eV/atom) = -7.440
data_LiTmIr4
_symmetry_space_group_name_H-M 'F -4 3 m'
_symmetry_Int_Tables_number 216
_symmetry_space_group_name_Hall 'F -4 2 3'
_cell_length_a 7.4229
_cell_length_b 7.4229
_cell_length_c 7.4229
_cell_angle_alpha 90.00
_cell_angle_beta 90.00
_cell_angle_gamma 90.00
loop_
_atom_site_label
_atom_site_type_symbol
_atom_site_fract_x
_atom_site_fract_y
_atom_site_fract_z
Li1 Li 0.0000 0.0000 0.0000
Tm1 Tm 0.2500 0.2500 0.7500
Ir1 Ir 0.1253 0.1253 0.3747

***

5.
# Pr4Ga16Ni3 PBE-GGA optimized geometry
# - total magnetic moment (μB per atom) = 0.00
# - uncorrected energy (eV/atom) = -4.194
data_Pr4Ga16Ni3
_symmetry_space_group_name_H-M 'P 4/m m m'
_symmetry_Int_Tables_number 123
_symmetry_space_group_name_Hall '-P 4 2'
_cell_length_a 6.1980
_cell_length_b 6.1980
_cell_length_c 11.3260
_cell_angle_alpha 90.00
_cell_angle_beta 90.00
_cell_angle_gamma 90.00
loop_
_atom_site_label
_atom_site_type_symbol
_atom_site_fract_x
_atom_site_fract_y
_atom_site_fract_z
Pr1 Pr 0.0000 0.5000 0.1947
Ga1 Ga 0.0000 0.0000 0.1967
Ga2 Ga 0.2168 0.2168 0.0000
Ga3 Ga 0.2458 0.2458 0.3852
Ga4 Ga 0.5000 0.5000 0.2270
Ni1 Ni 0.0000 0.5000 0.5000
Ni2 Ni 0.5000 0.5000 0.0000

***

6.
# BaNi2SeI PBE-GGA optimized geometry
# - total magnetic moment (μB per atom) = 0.00
# - ΔE_f (raw) (eV per atom) = 0.020
# - energy above the most stable polymorph in this dataset (eV/atom) = 0.236
# - uncorrected energy (eV/atom) = -3.684
data_BaNi2SeI
_symmetry_space_group_name_H-M 'P 4/m m m'
_symmetry_Int_Tables_number 123
_symmetry_space_group_name_Hall '-P 4 2'
_cell_length_a 4.6764
_cell_length_b 4.6764
_cell_length_c 6.6623
_cell_angle_alpha 90.00
_cell_angle_beta 90.00
_cell_angle_gamma 90.00
loop_
_atom_site_label
_atom_site_type_symbol
_atom_site_fract_x
_atom_site_fract_y
_atom_site_fract_z
Ba1 Ba 0.0000 0.0000 0.0000
Ni1 Ni 0.0000 0.5000 0.5000
Se1 Se 0.5000 0.5000 0.0000
I1 I 0.5000 0.5000 0.5000